# RbAu2SI

A crystal of RbAu2SI relaxed with PBEsol (meta-GGA SCAN, Alexandria via LeMat-Bulk).

Cell and atoms, written as extended XYZ:
```
5
Lattice="5.237 0.000 0.000 0.000 5.237 0.000 0.000 0.000 7.051" Properties=species:S:1:pos:R:3 pbc="T T T"
I 0.000 0.000 0.000
S 2.618 2.618 3.525
Au 0.000 2.618 0.000
Au 2.618 0.000 0.000
Rb 0.000 0.000 3.525
```

Symmetry = No. 123
Uncorrected formation energy = 0.297 eV/atom
Energy = -40.787 eV per atom
Volume = 193.4 Å³/cell